Entry 1:
RbCd2Bi2 | Alexandria via LeMat-Bulk | PBE-GGA | relaxed; calculated density = 7.13 Mg/m³; energy of formation = -0.197 eV per atom; crystal system = tetragonal; excess energy over the best structure of this formula in the dataset = 20.9 meV per atom
1.0
5.0829 0.0000 0.0000
0.0000 5.0829 0.0000
2.5414 2.5414 6.5659
Rb Cd Bi
1 2 2
Direct
0.0000 0.0000 0.0000
0.3933 0.3933 0.2135
0.6067 0.6067 0.7865
0.7500 0.2500 0.5000
0.2500 0.7500 0.5000



Entry 2:
Zr3P | Alexandria via LeMat-Bulk | PBE-GGA | relaxed; calculated density = 6.08 Mg/m³; energy of formation = -0.466 eV per atom; crystal system = orthorhombic; excess energy over the best structure of this formula in the dataset = 396.3 meV per atom
1.0
-0.8190 0.6560 3.0430
-2.0410 -2.2672 -1.0274
5.2481 -5.9455 2.6943
P Zr
1 3
Direct
0.0000 0.0000 0.0000
0.0000 0.0000 0.5000
0.5000 0.5000 0.7914
0.5000 0.5000 0.2086



Entry 3:
Ta2AlF | Alexandria via LeMat-Bulk | PBE-GGA | relaxed; formation energy (no corrections) = 0.01 eV/atom; calculated density = 10.75 Mg/m³; crystal system = cubic; excess energy over the best structure of this formula in the dataset = 0.0 meV per atom
1.0
2.2814 -2.7624 2.6662
1.3871 1.4027 4.0066
-1.9032 -1.6022 3.7088
F Al Ta
1 1 2
Direct
0.0000 0.0000 0.0000
0.5000 0.5000 0.5000
0.2500 0.2500 0.2500
0.7500 0.7500 0.7500



Entry 4:
RbLi2UI8 | Alexandria via LeMat-Bulk | PBE-GGA | relaxed; formation energy (no corrections) = -0.98 eV/atom; calculated density = 3.94 Mg/m³; crystal system = triclinic
1.0
7.4695 0.8538 0.0128
0.8883 7.3234 0.0185
0.0473 0.0476 10.5733
U Rb I Li
1 1 8 2
Direct
0.0000 0.0000 0.0000
0.0000 0.0000 0.5000
0.7340 0.7761 0.9988
0.7870 0.2425 0.1973
0.2130 0.7575 0.8027
0.2660 0.2239 0.0012
0.3251 0.3116 0.5024
0.6749 0.6884 0.4976
0.2081 0.7522 0.1972
0.7919 0.2478 0.8028
0.5007 0.4999 0.6548
0.4993 0.5001 0.3452



Entry 5:
PbW | Alexandria via LeMat-Bulk | PBE-GGA | relaxed; calculated density = 16.06 Mg/m³; energy of formation = 1.143 eV per atom; crystal system = orthorhombic; excess energy over the best structure of this formula in the dataset = 648.8 meV per atom
1.0
3.1459 0.0000 0.0000
0.0000 5.0759 0.0000
0.0000 0.0000 5.0637
W Pb
2 2
Direct
0.5000 0.0000 0.5013
0.0000 0.5000 0.3321
0.0000 0.0000 0.0162
0.5000 0.5000 0.8172



Entry 6:
Ba6Sb2Te3Br | Alexandria via LeMat-Bulk | PBE-GGA | relaxed; formation energy (no corrections) = -1.51 eV/atom; calculated density = 4.78 Mg/m³; crystal system = monoclinic
1.0
-2.0919 2.3495 3.7007
3.2249 -7.2886 6.4503
9.2492 6.1235 -1.8468
Ba Te Br Sb
6 3 1 2
Direct
0.3290 0.9143 0.6580
0.3312 0.4153 0.6624
0.9976 0.7407 0.9953
0.0024 0.2593 0.0047
0.6710 0.0857 0.3420
0.6688 0.5847 0.3376
0.5000 0.5000 0.0000
0.1624 0.8356 0.3248
0.8376 0.1644 0.6752
0.5000 0.0000 0.0000
0.1640 0.3280 0.3280
0.8360 0.6720 0.6720



Entry 7:
Sc3FeTc | Alexandria via LeMat-Bulk | PBE-GGA | relaxed; calculated density = 4.16 Mg/m³; energy of formation = 0.767 eV per atom; crystal system = cubic; excess energy over the best structure of this formula in the dataset = 302.4 meV per atom
1.0
4.8683 0.0000 0.0000
0.0000 4.8683 0.0000
0.0000 0.0000 4.8683
Sc Tc Fe
3 1 1
Direct
0.5000 0.0000 0.0000
0.0000 0.5000 0.0000
0.0000 0.0000 0.5000
0.0000 0.0000 0.0000
0.5000 0.5000 0.5000



Entry 8:
Nd3TmTl2 | Alexandria via LeMat-Bulk | PBE-GGA | relaxed; calculated density = 8.91 Mg/m³; energy of formation = -0.169 eV per atom; crystal system = monoclinic; excess energy over the best structure of this formula in the dataset = 95.3 meV per atom
1.0
5.0547 0.0000 0.0000
-2.5273 8.1475 -0.7756
0.0000 -4.0856 9.5304
Tl Nd Tm
4 6 2
Direct
0.7579 0.5158 0.1005
0.2421 0.4842 0.8995
0.4860 0.9721 0.1357
0.5140 0.0279 0.8643
0.6345 0.2689 0.6722
0.9589 0.9177 0.6409
0.0411 0.0823 0.3591
0.2896 0.5792 0.6229
0.3655 0.7311 0.3278
0.7104 0.4208 0.3771
0.8823 0.7645 0.9322
0.1177 0.2355 0.0678



Entry 9:
Pu3GaRh4 | Alexandria via LeMat-Bulk | PBE-GGA | relaxed; calculated density = 11.89 Mg/m³; energy of formation = -0.387 eV per atom; crystal system = orthorhombic
1.0
3.8760 0.0000 0.0000
0.0000 5.8156 0.0000
-1.9380 -2.9078 7.5182
Pu Ga Rh
3 1 4
Direct
0.8028 0.8028 0.6056
0.1972 0.1972 0.3944
0.0000 0.5000 0.0000
0.5000 0.0000 0.0000
0.6255 0.3988 0.2510
0.3745 0.1477 0.7490
0.3745 0.6012 0.7490
0.6255 0.8523 0.2510